1.
VASP calculation (PBE-GGA) on an optimized crystal structure of ReSb2Pt.

Lattice parameters (Å, degrees): 3.0520 4.7632 10.8873 90.00 90.00 90.00
Last column: nearest neighbours and their distance in Å.
Atoms (fractional coordinates):
Re  0.0000  0.0000  0.0000  2 Pt 2.74, 6 Sb 2.85-2.93, 2 Re 3.05
Re  0.5000  0.5000  0.5000  2 Pt 2.74, 6 Sb 2.85-2.93, 2 Re 3.05
Sb  0.0000  0.0000  0.5337  4 Re 2.85, 2 Sb 3.05, 2 Pt 3.19
Sb  0.0000  0.5000  0.7298  4 Pt 2.91, 2 Re 2.93, 4 Sb 3.05-3.20
Sb  0.5000  0.0000  0.2298  4 Pt 2.91, 2 Re 2.93, 4 Sb 3.05-3.20
Sb  0.5000  0.5000  0.0337  4 Re 2.85, 2 Sb 3.05, 2 Pt 3.19
Pt  0.0000  0.5000  0.2910  2 Re 2.74, 4 Sb 2.91, 2 Pt 3.05
Pt  0.5000  0.0000  0.7910  2 Re 2.74, 4 Sb 2.91, 2 Pt 3.05

Output
symmetry: Imm2 (44)
E_form (uncorrected): 0.417 eV/atom
final energy: -6.2661 eV/atom
DOS(E_F): 0.71 states/eV per atom



2.
VASP calculation (PBE-GGA) on an optimized crystal structure of Zn2Fe3Ni8.

Lattice parameters (Å, degrees): 9.1896 9.1896 9.1896 29.08 29.08 29.08
Last column: nearest neighbours and their distance in Å.
Atoms (fractional coordinates):
Zn  0.1376  0.1376  0.1376  4 Ni 2.33-2.45
Zn  0.8624  0.8624  0.8624  4 Ni 2.33-2.45
Fe  0.3152  0.3152  0.3152  10 Ni 2.35-2.55
Fe  0.5000  0.5000  0.5000  6 Zn 2.77, 6 Ni 3.09
Fe  0.6848  0.6848  0.6848  10 Ni 2.35-2.55
Ni  0.2261  0.2261  0.2261  1 Zn 2.33, 1 Fe 2.35
Ni  0.2263  0.2263  0.7260  4 Ni 2.31, 3 Fe 2.44-2.55, 1 Zn 2.45
Ni  0.2263  0.7260  0.2263  4 Ni 2.31, 3 Fe 2.44-2.55, 1 Zn 2.45
Ni  0.2740  0.7737  0.7737  4 Ni 2.31, 3 Fe 2.44-2.55, 1 Zn 2.45
Ni  0.7260  0.2263  0.2263  4 Ni 2.31, 3 Fe 2.44-2.55, 1 Zn 2.45
Ni  0.7737  0.2740  0.7737  4 Ni 2.31, 3 Fe 2.44-2.55, 1 Zn 2.45
Ni  0.7737  0.7737  0.2740  4 Ni 2.31, 3 Fe 2.44-2.55, 1 Zn 2.45
Ni  0.7739  0.7739  0.7739  1 Zn 2.33, 1 Fe 2.35

Output
symmetry: R-3m (166)
final energy: -5.5389 eV/atom
DOS(E_F): 1.11 states/eV per atom
energy of formation: 0.17 eV per atom



3.
VASP calculation (PBE-GGA) on an optimized crystal structure of Nd8Sm3Ho.

Lattice parameters (Å, degrees): 8.8112 8.8112 8.8112 135.37 99.69 96.89
Last column: nearest neighbours and their distance in Å.
Atoms (fractional coordinates):
Nd  0.0855  0.2493  0.8363  1 Ho 3.46, 4 Sm 3.47-3.83, 5 Nd 3.49-3.72
Nd  0.2414  0.2564  0.4990  1 Ho 3.24, 6 Nd 3.25-3.52, 1 Sm 3.35
Nd  0.2426  0.7436  0.9851  1 Ho 3.24, 6 Nd 3.25-3.52, 1 Sm 3.35
Nd  0.4129  0.2492  0.1637  1 Ho 3.46, 4 Sm 3.47-3.83, 5 Nd 3.49-3.72
Nd  0.5871  0.7507  0.8363  1 Ho 3.46, 4 Sm 3.47-3.83, 5 Nd 3.49-3.72
Nd  0.7574  0.7425  0.5010  1 Ho 3.24, 6 Nd 3.25-3.52, 1 Sm 3.35
Nd  0.7586  0.2575  0.0149  1 Ho 3.24, 6 Nd 3.25-3.52, 1 Sm 3.35
Nd  0.9145  0.7508  0.1637  1 Ho 3.46, 4 Sm 3.47-3.83, 5 Nd 3.49-3.72
Sm  0.2450  0.7450  0.5000  6 Nd 3.82-3.83
Sm  0.5000  0.5000  0.0000  8 Nd 3.35-3.47
Sm  0.7550  0.2550  0.5000  6 Nd 3.82-3.83
Ho  0.0000  0.0000  0.0000  8 Nd 3.24-3.46

Output
symmetry: I222 (23)
final energy: -4.4301 eV/atom
DOS(E_F): 1.34 states/eV per atom
energy of formation: 0.31 eV per atom



4.
VASP calculation (PBE-GGA) on an optimized crystal structure of Pr4BiTeS2.

Lattice parameters (Å, degrees): 7.4460 4.2972 7.6733 90.00 108.84 90.00
Last column: nearest neighbours and their distance in Å.
Atoms (fractional coordinates):
Pr  0.2349  0.0000  0.2119  3 S 2.91-2.93, 1 Bi 3.23, 2 Te 3.25
Pr  0.2610  0.5000  0.7862  3 S 2.92-2.93, 2 Bi 3.23, 1 Te 3.24
Pr  0.7390  0.5000  0.2138  3 S 2.92-2.93, 2 Bi 3.23, 1 Te 3.24
Pr  0.7651  0.0000  0.7881  3 S 2.91-2.93, 1 Bi 3.23, 2 Te 3.25
Bi  0.0000  0.0000  0.5000  6 Pr 3.23
Te  0.5000  0.5000  0.5000  6 Pr 3.24-3.25
S  0.0000  0.5000  0.0000  6 Pr 2.91-2.92
S  0.5000  0.0000  0.0000  6 Pr 2.93

Output
symmetry: P2/m (10)
E_form (uncorrected): -1.591 eV/atom
final energy: -5.8905 eV/atom
DOS(E_F): 0.37 states/eV per atom



5.
VASP calculation (PBE-GGA) on an optimized crystal structure of NbNiPd.

Lattice parameters (Å, degrees): 2.7838 14.2536 4.4599 90.00 90.00 90.00
Last column: nearest neighbours and their distance in Å.
Atoms (fractional coordinates):
Nb  0.0000  0.1208  0.2500  4 Ni 2.63-2.66, 6 Pd 2.78-2.89, 2 Nb 2.78
Nb  0.0000  0.8792  0.7500  4 Ni 2.63-2.66, 6 Pd 2.78-2.89, 2 Nb 2.78
Nb  0.5000  0.3792  0.7500  4 Ni 2.63-2.66, 6 Pd 2.78-2.89, 2 Nb 2.78
Nb  0.5000  0.6208  0.2500  4 Ni 2.63-2.66, 6 Pd 2.78-2.89, 2 Nb 2.78
Ni  0.0000  0.2229  0.7500  4 Nb 2.63-2.66, 6 Ni 2.74-2.78, 2 Pd 2.74
Ni  0.0000  0.7771  0.2500  4 Nb 2.63-2.66, 6 Ni 2.74-2.78, 2 Pd 2.74
Ni  0.5000  0.2771  0.2500  4 Nb 2.63-2.66, 6 Ni 2.74-2.78, 2 Pd 2.74
Ni  0.5000  0.7229  0.7500  4 Nb 2.63-2.66, 6 Ni 2.74-2.78, 2 Pd 2.74
Pd  0.0000  0.4430  0.2500  2 Ni 2.74, 4 Pd 2.76-2.78, 6 Nb 2.78-2.89
Pd  0.0000  0.5570  0.7500  2 Ni 2.74, 4 Pd 2.76-2.78, 6 Nb 2.78-2.89
Pd  0.5000  0.0570  0.7500  2 Ni 2.74, 4 Pd 2.76-2.78, 6 Nb 2.78-2.89
Pd  0.5000  0.9430  0.2500  2 Ni 2.74, 4 Pd 2.76-2.78, 6 Nb 2.78-2.89

Output
symmetry: Cmcm (63)
final energy: -7.2736 eV/atom
DOS(E_F): 0.58 states/eV per atom
energy of formation: -0.26 eV per atom



6.
VASP calculation (PBE-GGA) on an optimized crystal structure of ScNb3Pt.

Lattice parameters (Å, degrees): 4.9327 4.9327 4.9327 90.00 90.00 90.00
Last column: nearest neighbours and their distance in Å.
Atoms (fractional coordinates):
Sc  0.0000  0.0000  0.0000  12 Nb 3.49
Nb  0.0000  0.5000  0.5000  2 Pt 2.47
Nb  0.5000  0.0000  0.5000  2 Pt 2.47
Nb  0.5000  0.5000  0.0000  2 Pt 2.47
Pt  0.5000  0.5000  0.5000  6 Nb 2.47

Output
symmetry: Pm-3m (221)
final energy: -7.6893 eV/atom
DOS(E_F): 1.69 states/eV per atom
energy of formation: 0.83 eV per atom



7.
VASP calculation (PBE-GGA) on an optimized crystal structure of Sm8AgRu2.

Lattice parameters (Å, degrees): 7.8564 7.8564 5.7904 98.41 98.41 112.85
Last column: nearest neighbours and their distance in Å.
Atoms (fractional coordinates):
Sm  0.0725  0.3311  0.5848  2 Ru 2.84-2.90
Sm  0.2402  0.7598  0.0000  2 Ru 3.01, 1 Ag 3.14
Sm  0.3311  0.0725  0.5848  2 Ru 2.84-2.90
Sm  0.3832  0.3832  0.2001  2 Ru 3.12, 1 Ag 3.22, 3 Sm 3.46-3.49
Sm  0.6168  0.6168  0.7999  2 Ru 3.12, 1 Ag 3.22, 3 Sm 3.46-3.49
Sm  0.6689  0.9275  0.4152  2 Ru 2.84-2.90
Sm  0.7598  0.2402  0.0000  2 Ru 3.01, 1 Ag 3.14
Sm  0.9275  0.6689  0.4152  2 Ru 2.84-2.90
Ag  0.0000  0.0000  0.0000  4 Sm 3.14-3.22
Ru  0.3037  0.6963  0.5000  8 Sm 2.84-3.12
Ru  0.6963  0.3037  0.5000  8 Sm 2.84-3.12

Output
symmetry: C2/m (12)
final energy: -5.4874 eV/atom
DOS(E_F): 1.21 states/eV per atom
energy of formation: -0.11 eV per atom



8.
VASP calculation (PBE-GGA) on an optimized crystal structure of Nd12Sn6N.

Lattice parameters (Å, degrees): 8.4966 8.4966 8.4966 92.41 92.41 92.41
Last column: nearest neighbours and their distance in Å.
Atoms (fractional coordinates):
Nd  0.0447  0.9269  0.7118  1 N 2.55
Nd  0.0731  0.2882  0.9553  1 N 2.55
Nd  0.1946  0.4141  0.5443  4 Sn 3.20-3.32
Nd  0.2882  0.9553  0.0731  1 N 2.55
Nd  0.4141  0.5443  0.1946  4 Sn 3.20-3.32
Nd  0.4557  0.8054  0.5859  4 Sn 3.20-3.32
Nd  0.5443  0.1946  0.4141  4 Sn 3.20-3.32
Nd  0.5859  0.4557  0.8054  4 Sn 3.20-3.32
Nd  0.7118  0.0447  0.9269  1 N 2.55
Nd  0.8054  0.5859  0.4557  4 Sn 3.20-3.32
Nd  0.9269  0.7118  0.0447  1 N 2.55
Nd  0.9553  0.0731  0.2882  1 N 2.55
Sn  0.1407  0.7493  0.3677  8 Nd 3.20-3.38
Sn  0.2507  0.6323  0.8593  8 Nd 3.20-3.38
Sn  0.3677  0.1407  0.7493  8 Nd 3.20-3.38
Sn  0.6323  0.8593  0.2507  8 Nd 3.20-3.38
Sn  0.7493  0.3677  0.1407  8 Nd 3.20-3.38
Sn  0.8593  0.2507  0.6323  8 Nd 3.20-3.38
N  0.0000  0.0000  0.0000  6 Nd 2.55

Output
symmetry: R-3 (148)
E_form (uncorrected): -0.608 eV/atom
final energy: -5.3214 eV/atom
DOS(E_F): 0.80 states/eV per atom



9.
VASP calculation (PBE-GGA) on an optimized crystal structure of Tl2CoSe2.

Lattice parameters (Å, degrees): 4.1673 4.1673 15.3702 90.00 90.00 90.00
Last column: nearest neighbours and their distance in Å.
Atoms (fractional coordinates):
Tl  0.0000  0.5000  0.2500  4 Tl 2.95
Tl  0.0000  0.5000  0.7500  4 Tl 2.95
Tl  0.5000  0.0000  0.2500  4 Tl 2.95
Tl  0.5000  0.0000  0.7500  4 Tl 2.95
Co  0.0000  0.0000  0.0000  8 Se 3.21
Co  0.5000  0.5000  0.5000  8 Se 3.21
Se  0.0000  0.0000  0.4178  1 Se 2.53
Se  0.0000  0.0000  0.5822  1 Se 2.53
Se  0.5000  0.5000  0.0822  1 Se 2.53
Se  0.5000  0.5000  0.9178  1 Se 2.53

Output
symmetry: I4/mmm (139)
E_form (uncorrected): 0.595 eV/atom
final energy: -3.1665 eV/atom
DOS(E_F): 1.00 states/eV per atom



10.
VASP calculation (PBE-GGA) on an optimized crystal structure of ZrGaBi.

Lattice parameters (Å, degrees): 6.8531 5.5668 5.6862 75.03 51.70 53.28
Last column: nearest neighbours and their distance in Å.
Atoms (fractional coordinates):
Zr  0.0000  0.0000  0.0000  3 Ga 2.91-3.01, 5 Bi 2.97-3.25
Zr  0.2500  0.2500  0.2500  3 Ga 2.91-3.01, 5 Bi 2.97-3.25
Ga  0.3155  0.3155  0.6845  3 Zr 2.91-3.01, 4 Bi 2.98-3.22
Ga  0.5655  0.5655  0.9345  3 Zr 2.91-3.01, 4 Bi 2.98-3.22
Bi  0.6600  0.6600  0.3400  5 Zr 2.97-3.25, 5 Ga 2.98-3.29
Bi  0.9100  0.9100  0.5900  5 Zr 2.97-3.25, 5 Ga 2.98-3.29

Output
symmetry: Fdd2 (43)
final energy: -5.4736 eV/atom
DOS(E_F): 0.36 states/eV per atom
energy of formation: -0.32 eV per atom



11.
VASP calculation (PBE-GGA) on an optimized crystal structure of Sc2Si2O7.

Lattice parameters (Å, degrees): 6.6275 6.6275 6.6275 60.00 60.00 60.00
Last column: nearest neighbours and their distance in Å.
Atoms (fractional coordinates):
Sc  0.0000  0.0000  0.0000  2 O 2.03
Sc  0.0000  0.0000  0.5000  2 O 2.03
Sc  0.0000  0.5000  0.0000  2 O 2.03
Sc  0.5000  0.0000  0.0000  2 O 2.03
Si  0.0000  0.5000  0.5000  6 O 1.80
Si  0.5000  0.0000  0.5000  6 O 1.80
Si  0.5000  0.5000  0.0000  6 O 1.80
Si  0.5000  0.5000  0.5000  6 O 1.80
O  0.1250  0.1250  0.1250  4 Sc 2.03
O  0.1757  0.1757  0.5743  2 Si 1.80
O  0.1757  0.5743  0.1757  2 Si 1.80
O  0.1757  0.5743  0.5743  2 Si 1.80
O  0.4257  0.4257  0.8243  2 Si 1.80
O  0.4257  0.8243  0.4257  2 Si 1.80
O  0.4257  0.8243  0.8243  2 Si 1.80
O  0.5743  0.1757  0.1757  2 Si 1.80
O  0.5743  0.1757  0.5743  2 Si 1.80
O  0.5743  0.5743  0.1757  2 Si 1.80
O  0.8243  0.4257  0.4257  2 Si 1.80
O  0.8243  0.4257  0.8243  2 Si 1.80
O  0.8243  0.8243  0.4257  2 Si 1.80
O  0.8750  0.8750  0.8750  4 Sc 2.03

Output
symmetry: Fd-3m (227)
E_form (uncorrected): -3.078 eV/atom
final energy: -8.3705 eV/atom
DOS(E_F): 0.00 states/eV per atom



12.
VASP calculation (PBE-GGA) on an optimized crystal structure of BeHg2P.

Lattice parameters (Å, degrees): 3.5613 4.0061 11.7542 90.00 90.00 90.00
Last column: nearest neighbours and their distance in Å.
Atoms (fractional coordinates):
Be  0.0000  0.0000  0.0000  2 P 2.05
Be  0.5000  0.5000  0.5000  2 P 2.05
Hg  0.0000  0.0000  0.5809  2 P 2.81, 4 Be 2.84, 2 Hg 2.99
Hg  0.0000  0.5000  0.7703  2 Hg 2.99, 4 P 3.16
Hg  0.5000  0.0000  0.2703  2 Hg 2.99, 4 P 3.16
Hg  0.5000  0.5000  0.0809  2 P 2.81, 4 Be 2.84, 2 Hg 2.99
P  0.0000  0.5000  0.4134  2 Be 2.05
P  0.5000  0.0000  0.9134  2 Be 2.05

Output
symmetry: Imm2 (44)
final energy: -2.1291 eV/atom
DOS(E_F): 0.34 states/eV per atom
energy of formation: 0.31 eV per atom



13.
VASP calculation (PBE-GGA) on an optimized crystal structure of SbW2Cl.

Lattice parameters (Å, degrees): 3.3078 3.1185 9.1019 90.00 99.99 90.00
Last column: nearest neighbours and their distance in Å.
Atoms (fractional coordinates):
Sb  0.0000  0.0000  0.0000  5 W 2.97-3.32, 4 Sb 3.12-3.31
W  0.3980  0.5000  0.7861  4 W 2.67, 4 Sb 2.97
W  0.8234  0.0000  0.6295  2 Cl 2.47, 4 W 2.67
Cl  0.7215  0.5000  0.4158  2 W 2.47

Output
symmetry: Pm (6)
E_form (uncorrected): 0.046 eV/atom
final energy: -7.9230 eV/atom
DOS(E_F): 0.23 states/eV per atom



14.
VASP calculation (PBE-GGA) on an optimized crystal structure of Cu5NiAu4.

Lattice parameters (Å, degrees): 3.0144 3.0144 15.7460 90.00 90.00 90.00
Last column: nearest neighbours and their distance in Å.
Atoms (fractional coordinates):
Cu  0.0000  0.0000  0.0000  8 Au 2.70, 4 Cu 3.01
Cu  0.0000  0.0000  0.2096  8 Au 2.69-2.70
Cu  0.0000  0.0000  0.4179  4 Ni 2.49, 1 Cu 2.59, 4 Au 2.68
Cu  0.0000  0.0000  0.5821  4 Ni 2.49, 1 Cu 2.59, 4 Au 2.68
Cu  0.0000  0.0000  0.7904  8 Au 2.69-2.70
Ni  0.5000  0.5000  0.5000  8 Cu 2.49
Au  0.5000  0.5000  0.1052  8 Cu 2.69-2.70
Au  0.5000  0.5000  0.3148  8 Cu 2.68-2.70, 1 Ni 2.92
Au  0.5000  0.5000  0.6852  8 Cu 2.68-2.70, 1 Ni 2.92
Au  0.5000  0.5000  0.8948  8 Cu 2.69-2.70

Output
symmetry: P4/mmm (123)
final energy: -3.9538 eV/atom
DOS(E_F): 0.28 states/eV per atom
energy of formation: -0.02 eV per atom



15.
VASP calculation (PBE-GGA) on an optimized crystal structure of CeHoPb2.

Lattice parameters (Å, degrees): 4.5261 4.5620 11.8251 90.00 90.00 90.00
Last column: nearest neighbours and their distance in Å.
Atoms (fractional coordinates):
Ce  0.0000  0.0000  0.0000  7 Pb 3.18-3.56
Ce  0.0000  0.5000  0.5000  7 Pb 3.18-3.56
Ho  0.5000  0.0000  0.7407  7 Pb 3.20-3.54
Ho  0.5000  0.5000  0.2407  7 Pb 3.20-3.54
Pb  0.0000  0.0000  0.2690  3 Ce 3.18-3.56, 4 Ho 3.23, 2 Pb 3.28
Pb  0.0000  0.5000  0.7690  3 Ce 3.18-3.56, 4 Ho 3.23, 2 Pb 3.28
Pb  0.5000  0.0000  0.4696  3 Ho 3.20-3.54, 4 Ce 3.23, 2 Pb 3.28
Pb  0.5000  0.5000  0.9696  3 Ho 3.20-3.54, 4 Ce 3.23, 2 Pb 3.28

Output
symmetry: Amm2 (38)
final energy: -4.8830 eV/atom
DOS(E_F): 2.01 states/eV per atom
energy of formation: -0.40 eV per atom



16.
VASP calculation (PBE-GGA) on an optimized crystal structure of Ca8ZnSn2.

Lattice parameters (Å, degrees): 9.2535 9.2535 9.2535 147.17 123.48 66.93
Last column: nearest neighbours and their distance in Å.
Atoms (fractional coordinates):
Ca  0.1282  0.3455  0.7826  3 Sn 3.30-3.39, 1 Zn 3.44, 4 Ca 3.55-3.61
Ca  0.1406  0.1406  0.0000  2 Zn 3.40, 8 Ca 3.53-3.69, 2 Sn 3.64
Ca  0.3172  0.0000  0.3172  7 Ca 3.20-3.55, 2 Sn 3.42
Ca  0.4371  0.6545  0.7826  3 Sn 3.30-3.39, 1 Zn 3.44, 4 Ca 3.55-3.61
Ca  0.5629  0.3455  0.2174  3 Sn 3.30-3.39, 1 Zn 3.44, 4 Ca 3.55-3.61
Ca  0.6828  0.0000  0.6828  7 Ca 3.20-3.55, 2 Sn 3.42
Ca  0.8594  0.8594  0.0000  2 Zn 3.40, 8 Ca 3.53-3.69, 2 Sn 3.64
Ca  0.8718  0.6545  0.2174  3 Sn 3.30-3.39, 1 Zn 3.44, 4 Ca 3.55-3.61
Zn  0.0000  0.5000  0.5000  8 Ca 3.40-3.44
Sn  0.3043  0.8043  0.5000  10 Ca 3.30-3.64
Sn  0.6957  0.1957  0.5000  10 Ca 3.30-3.64

Output
symmetry: Immm (71)
final energy: -2.5908 eV/atom
DOS(E_F): 0.75 states/eV per atom
energy of formation: -0.29 eV per atom